[1]
## V3Au (PBE-GGA)

Data for a geometry-optimized V3Au structure.

The structure in POSCAR format:
```
V3Au
1.0
-4.089 -1.424 0.459
-1.172 -2.125 3.615
-2.657 1.901 2.878
Au V
1 3
Direct
0.500 0.500 0.500 Au
0.250 0.250 0.250 V
0.750 0.750 0.750 V
0.000 0.000 0.000 V
```

Properties
Energy relative to the lowest polymorph listed for this composition   16.47 kJ per mole of atoms
SG   Fm-3m
Volume   14.59 A^3/atom
D(E_F)   1.6343 states/eV per atom
Total moment   0.0 μB per formula unit


[2]
## YFeTe2 (PBE-GGA)

Data for a geometry-optimized YFeTe2 structure.

The structure in POSCAR format:
```
YFeTe2
1.0
2.716 0.983 8.920
4.617 3.690 7.278
1.108 4.246 8.285
Y Fe Te
1 1 2
Direct
0.000 0.000 0.000 Y
0.500 0.500 0.500 Fe
0.113 0.113 0.113 Te
0.887 0.887 0.887 Te
```

Properties
Formation energy (no corrections)   -0.06 eV per atom
SG   R-3m
Volume   26.96 A^3/atom
D(E_F)   1.5854 states/eV per atom
Total moment   1.4 μB per formula unit


[3]
## CuTeAs2 (PBE-GGA)

Data for a geometry-optimized CuTeAs2 structure.

The structure in POSCAR format:
```
CuTeAs2
1.0
-6.176 0.609 2.999
-5.160 -3.083 3.374
-3.731 -0.441 5.779
Cu Te As
1 1 2
Direct
0.503 0.503 0.503 Cu
0.762 0.762 0.762 Te
0.246 0.246 0.246 As
0.988 0.988 0.988 As
```

Properties
Formation energy (no corrections)   0.10 eV per atom
SG   R3m
Volume   20.92 A^3/atom
D(E_F)   0.5045 states/eV per atom
Total moment   0.0 μB per formula unit


[4]
## Ge2TeS6 (PBE-GGA)

Data for a geometry-optimized Ge2TeS6 structure.

The structure in POSCAR format:
```
Ge2TeS6
1.0
6.326 -0.202 -0.196
1.578 8.293 0.042
1.578 0.310 8.287
S Te Ge
12 2 4
Direct
0.375 0.713 0.552 S
0.344 0.026 0.213 S
0.844 0.213 0.026 S
0.156 0.787 0.974 S
0.612 0.609 0.139 S
0.656 0.974 0.787 S
0.388 0.391 0.861 S
0.625 0.287 0.448 S
0.888 0.861 0.391 S
0.112 0.139 0.609 S
0.125 0.448 0.287 S
0.875 0.552 0.713 S
0.250 0.131 0.869 Te
0.750 0.869 0.131 Te
0.179 0.618 0.778 Ge
0.821 0.382 0.222 Ge
0.321 0.222 0.382 Ge
0.679 0.778 0.618 Ge
```

Properties
Formation energy (no corrections)   -0.09 eV per atom
SG   C2/c
Volume   24.43 A^3/atom
Total moment   0.0 μB per formula unit


[5]
## NaCaRu3 (PBE-GGA)

Data for a geometry-optimized NaCaRu3 structure.

The structure in POSCAR format:
```
NaCaRu3
1.0
-0.772 -1.104 -4.466
4.401 -1.495 -0.392
-1.338 -4.279 1.289
Ca Ru Na
1 3 1
Direct
0.500 0.500 0.500 Ca
0.000 0.500 0.000 Ru
0.000 0.000 0.500 Ru
0.500 0.000 0.000 Ru
0.000 0.000 0.000 Na
```

Properties
Energy relative to the lowest polymorph listed for this composition   0.00 kJ per mole of atoms
SG   Pm-3m
Volume   20.30 A^3/atom
D(E_F)   2.1805 states/eV per atom
Total moment   3.9 μB per formula unit


[6]
## Tb7PmPr3 (PBE-GGA)

Data for a geometry-optimized Tb7PmPr3 structure.

The structure in POSCAR format:
```
Tb7PmPr3
1.0
-2.523 -1.177 8.327
-6.594 -1.580 -2.221
4.852 -5.179 0.738
Tb Pr Pm
7 3 1
Direct
0.445 0.335 0.167 Tb
0.124 0.667 0.333 Tb
0.120 0.665 0.833 Tb
0.445 0.833 0.167 Tb
0.120 0.167 0.335 Tb
0.120 0.167 0.833 Tb
0.445 0.833 0.665 Tb
0.784 0.500 0.000 Pr
0.784 0.000 0.500 Pr
0.784 0.500 0.500 Pr
0.443 0.333 0.667 Pm
```

Properties
Energy relative to the lowest polymorph listed for this composition   3.26 kJ per mole of atoms
SG   P3m1
Volume   35.19 A^3/atom
D(E_F)   1.5581 states/eV per atom
Total moment   0.0 μB per formula unit


[7]
## TaOs (PBE-GGA)

Data for a geometry-optimized TaOs structure.

The structure in POSCAR format:
```
TaOs
1.0
-1.533 -0.647 2.643
-0.630 -4.093 -1.368
7.416 0.333 2.538
Os Ta
3 3
Direct
0.500 0.000 0.000 Os
0.354 0.354 0.709 Os
0.646 0.646 0.291 Os
0.175 0.175 0.350 Ta
0.825 0.825 0.650 Ta
0.000 0.500 0.000 Ta
```

Properties
Total DFT energy (no corrections)   -70.6 eV for the cell shown
SG   Immm
Volume   16.74 A^3/atom
D(E_F)   0.4022 states/eV per atom
Total moment   0.0 μB per formula unit


[8]
## BeNi2Rh (PBE-GGA)

Data for a geometry-optimized BeNi2Rh structure.

The structure in POSCAR format:
```
BeNi2Rh
1.0
-1.698 1.337 1.476
1.414 -0.557 2.131
3.401 5.288 -0.876
Be Ni Rh
1 2 1
Direct
0.500 0.500 0.750 Be
0.000 0.000 0.544 Ni
0.000 0.000 0.956 Ni
0.500 0.500 0.250 Rh
```

Properties
Total DFT energy (no corrections)   -23.4 eV for the cell shown
SG   P4/mmm
Volume   10.87 A^3/atom
D(E_F)   1.3794 states/eV per atom
Total moment   1.4 μB per formula unit


[9]
## PtAu3 (PBE-GGA)

Data for a geometry-optimized PtAu3 structure.

The structure in POSCAR format:
```
PtAu3
1.0
9.747 0.001 0.000
9.319 2.859 0.000
9.319 1.398 2.494
Pt Au
1 3
Direct
0.750 0.750 0.750 Pt
0.002 0.002 0.002 Au
0.250 0.250 0.250 Au
0.498 0.498 0.498 Au
```

Properties
Total DFT energy (no corrections)   -15.8 eV for the cell shown
SG   R-3m
Volume   17.37 A^3/atom
D(E_F)   0.4193 states/eV per atom
Total moment   0.0 μB per formula unit


[10]
## Cd4P2Ir (PBE-GGA)

Data for a geometry-optimized Cd4P2Ir structure.

The structure in POSCAR format:
```
Cd4P2Ir
1.0
-4.185 -0.361 3.103
-2.866 -1.620 -4.054
-1.968 -7.198 0.904
Cd Ir P
4 1 2
Direct
0.799 0.799 0.403 Cd
0.000 0.500 0.000 Cd
0.201 0.201 0.597 Cd
0.500 0.000 0.000 Cd
0.000 0.000 0.000 Ir
0.605 0.605 0.790 P
0.395 0.395 0.210 P
```

Properties
Total DFT energy (no corrections)   -19.2 eV for the cell shown
SG   I4/mmm
Volume   25.51 A^3/atom
D(E_F)   0.8163 states/eV per atom
Total moment   1.0 μB per formula unit


[11]
## VFeSb3 (PBE-GGA)

Data for a geometry-optimized VFeSb3 structure.

The structure in POSCAR format:
```
VFeSb3
1.0
-0.915 -1.756 -4.510
4.599 1.113 -1.366
1.506 -4.465 1.433
Sb V Fe
3 1 1
Direct
0.500 0.000 0.000 Sb
0.000 0.500 0.000 Sb
0.000 0.000 0.500 Sb
0.500 0.500 0.500 V
0.000 0.000 0.000 Fe
```

Properties
Formation energy (no corrections)   0.71 eV per atom
Energy relative to the lowest polymorph listed for this composition   0.00 kJ per mole of atoms
SG   Pm-3m
Volume   23.89 A^3/atom
D(E_F)   1.1173 states/eV per atom
Total moment   4.3 μB per formula unit


[12]
## Ni2OsW (PBE-GGA)

Data for a geometry-optimized Ni2OsW structure.

The structure in POSCAR format:
```
Ni2OsW
1.0
4.093 0.000 0.000
0.000 2.611 -0.001
0.000 1.031 4.876
Os W Ni
1 1 2
Direct
0.000 0.496 0.472 Os
0.500 0.755 0.773 W
0.000 0.181 0.003 Ni
0.500 0.069 0.252 Ni
```

Properties
Energy relative to the lowest polymorph listed for this composition   5.92 kJ per mole of atoms
SG   Pm
Volume   13.03 A^3/atom
D(E_F)   0.7422 states/eV per atom
Total moment   0.0 μB per formula unit


> Which value of total moment does entry 7 give?

0.0 μB per formula unit